Record 1
The following is a PBE calculation of an optimized crystal structure of LuFeAsW, from the Open Quantum Materials Database.

The structure belongs to space group F-43m (No. 216); the cell edges are 6.348, 6.348 and 6.348 Å and the angles 90.00°, 90.00° and 90.00°. The inequivalent atoms are Lu at (0.000, 0.000, 0.000), Fe at (0.250, 0.250, 0.750), As at (0.000, 0.000, 0.500) and W at (0.250, 0.250, 0.250).

The calculation puts the energy above the most stable polymorph in this dataset at 0 kJ/mol of formula units. The total magnetization comes out at 7.90 μB/cell.

=====

Record 2
The following is a PBE calculation of an optimized crystal structure of MgFeMoAs, from the Open Quantum Materials Database.

The structure belongs to space group F-43m (No. 216); the cell edges are 6.120, 6.120 and 6.120 Å and the angles 90.00°, 90.00° and 90.00°. The inequivalent atoms are Mg at (0.000, 0.000, 0.000), Fe at (0.250, 0.250, 0.750), Mo at (0.250, 0.250, 0.250) and As at (0.000, 0.000, 0.500).

The calculation puts the energy above the most stable polymorph in this dataset at 0 kJ/mol of formula units. The total magnetization comes out at 8.12 μB/cell.

=====

Record 3
The following is a PBE calculation of an optimized crystal structure of MgFeAsPt, from the Open Quantum Materials Database.

The structure belongs to space group F-43m (No. 216); the cell edges are 6.222, 6.222 and 6.222 Å and the angles 90.00°, 90.00° and 90.00°. The inequivalent atoms are Mg at (0.000, 0.000, 0.000), Fe at (0.250, 0.250, 0.750), As at (0.000, 0.000, 0.500) and Pt at (0.250, 0.250, 0.250).

The calculation puts the total energy at -5.286 eV per atom. The total magnetization comes out at 9.12 μB/cell.

=====

Record 4
The following is a PBE calculation of an optimized crystal structure of MgScFeAs, from the Open Quantum Materials Database.

The structure belongs to space group F-43m (No. 216); the cell edges are 6.368, 6.368 and 6.368 Å and the angles 90.00°, 90.00° and 90.00°. The inequivalent atoms are Mg at (0.000, 0.000, 0.000), Sc at (0.000, 0.000, 0.500), Fe at (0.250, 0.250, 0.750) and As at (0.250, 0.250, 0.250).

The calculation puts the energy above the most stable polymorph in this dataset at 0 kJ/mol of formula units. The total magnetization comes out at 6.58 μB/cell.

=====

Record 5
The following is a PBE calculation of an optimized crystal structure of MgScFeAs, from the Open Quantum Materials Database.

The structure belongs to space group F-43m (No. 216); the cell edges are 6.299, 6.299 and 6.299 Å and the angles 90.00°, 90.00° and 90.00°. The inequivalent atoms are Mg at (0.000, 0.000, 0.000), Sc at (0.250, 0.250, 0.750), Fe at (0.250, 0.250, 0.250) and As at (0.000, 0.000, 0.500).

The calculation puts the energy above the most stable polymorph in this dataset at 38 kJ/mol of formula units. The total magnetization comes out at 0.01 μB/cell.

=====

Record 6
The following is a PBE calculation of an optimized crystal structure of MgScFeAs, from the Open Quantum Materials Database.

The structure belongs to space group F-43m (No. 216); the cell edges are 6.214, 6.214 and 6.214 Å and the angles 90.00°, 90.00° and 90.00°. The inequivalent atoms are Mg at (0.000, 0.000, 0.000), Sc at (0.250, 0.250, 0.750), Fe at (0.000, 0.000, 0.500) and As at (0.250, 0.250, 0.250).

The calculation puts the energy above the most stable polymorph in this dataset at 32 kJ/mol of formula units. The total magnetization comes out at 0.07 μB/cell.

=====

Record 7
The following is a PBE calculation of an optimized crystal structure of MgFeSi2As4, from the Open Quantum Materials Database.

The structure belongs to space group I-4 (No. 82); the cell edges are 5.781, 5.781 and 10.904 Å and the angles 90.00°, 90.00° and 90.00°. The inequivalent atoms are Mg at (0.000, 0.000, 0.000), Fe at (0.000, 0.500, 0.750), Si at (0.000, 0.000, 0.500), Si at (0.000, 0.500, 0.250) and As at (0.232, 0.764, 0.368).

The calculation puts the total energy at -4.990 eV per atom. The total magnetization comes out at 7.85 μB/cell.

=====

Record 8
The following is a PBE calculation of an optimized crystal structure of MgTaFeAs, from the Open Quantum Materials Database.

The structure belongs to space group F-43m (No. 216); the cell edges are 6.267, 6.267 and 6.267 Å and the angles 90.00°, 90.00° and 90.00°. The inequivalent atoms are Mg at (0.000, 0.000, 0.000), Ta at (0.250, 0.250, 0.250), Fe at (0.250, 0.250, 0.750) and As at (0.000, 0.000, 0.500).

The calculation puts the energy above the most stable polymorph in this dataset at 11 kJ/mol of formula units. The total magnetization comes out at 8.00 μB/cell.

=====

Question: Which formula does entry 6 have?
Answer: MgScFeAs